ZnCoNi | PBE | optimized geometry

Values from the calculation:
Electronic total energy (eV per atom): -4.79
Calculated density (g cm⁻³): 8.6
DOS(E_F) (states/eV/cell): 10.748
Total magnetization (Bohr magnetons per cell): 6.76

Cell and atoms, written as CIF:
```
data_ZnCoNi
_chemical_formula_sum 'Zn4 Co4 Ni4'
_symmetry_space_group_name_H-M 'P 1'
_symmetry_Int_Tables_number 1
_symmetry_space_group_name_Hall 'P 1'
_cell_length_a 4.3011
_cell_length_b 2.5917
_cell_length_c 12.6501
_cell_angle_alpha 90.00
_cell_angle_beta 93.63
_cell_angle_gamma 90.00
loop_
_atom_site_label
_atom_site_fract_x
_atom_site_fract_y
_atom_site_fract_z
_atom_site_occupancy
Zn1 0.9672 0.5000 0.4420 1
Zn2 0.3993 0.0000 0.1085 1
Co1 0.0831 0.0000 0.2729 1
Co2 0.0831 0.5000 0.7729 1
Co3 0.5821 0.5000 0.2779 1
Co4 0.5821 0.0000 0.7779 1
Zn3 0.3993 0.5000 0.6085 1
Ni1 0.8941 0.0000 0.6129 1
Ni2 0.4683 0.5000 0.9381 1
Ni3 0.8941 0.5000 0.1129 1
Ni4 0.4683 0.0000 0.4381 1
Zn4 0.9672 0.0000 0.9420 1
```


ZnCoNi2 | PBE | optimized geometry

Values from the calculation:
Electronic total energy (eV per atom): -5.00
Calculated density (g cm⁻³): 8.7
DOS(E_F) (states/eV/cell): 5.744
Total magnetization (Bohr magnetons per cell): 2.43

Cell and atoms, written as CIF:
```
data_ZnCoNi2
_chemical_formula_sum 'Zn1 Co1 Ni2'
_symmetry_space_group_name_H-M 'P 1'
_symmetry_Int_Tables_number 1
_symmetry_space_group_name_Hall 'P 1'
_cell_length_a 3.6155
_cell_length_b 3.5972
_cell_length_c 3.5494
_cell_angle_alpha 90.00
_cell_angle_beta 90.00
_cell_angle_gamma 90.00
loop_
_atom_site_label
_atom_site_fract_x
_atom_site_fract_y
_atom_site_fract_z
_atom_site_occupancy
Ni1 0.5000 0.5000 0.0000 1
Zn1 0.5000 0.0000 0.5000 1
Ni2 0.0000 0.0000 0.0000 1
Co1 0.0000 0.5000 0.5000 1
```


ZnCoNi | PBE | optimized geometry

Values from the calculation:
Electronic total energy (eV per atom): -4.79
Calculated density (g cm⁻³): 8.6
DOS(E_F) (states/eV/cell): 6.359
Total magnetization (Bohr magnetons per cell): 3.36

Cell and atoms, written as CIF:
```
data_ZnCoNi
_chemical_formula_sum 'Zn2 Co2 Ni2'
_symmetry_space_group_name_H-M 'P 1'
_symmetry_Int_Tables_number 1
_symmetry_space_group_name_Hall 'P 1'
_cell_length_a 4.2693
_cell_length_b 2.6116
_cell_length_c 6.3353
_cell_angle_alpha 90.00
_cell_angle_beta 94.88
_cell_angle_gamma 90.00
loop_
_atom_site_label
_atom_site_fract_x
_atom_site_fract_y
_atom_site_fract_z
_atom_site_occupancy
Co1 0.0000 0.0000 0.5000 1
Zn1 0.6840 0.0000 0.8347 1
Co2 0.5000 0.5000 0.5000 1
Zn2 0.3160 0.0000 0.1653 1
Ni1 0.1800 0.5000 0.8251 1
Ni2 0.8200 0.5000 0.1749 1
```


ZnCoNi2 | PBE | optimized geometry

Values from the calculation:
Electronic total energy (eV per atom): -5.03
Calculated density (g cm⁻³): 8.7
DOS(E_F) (states/eV/cell): 4.351
Total magnetization (Bohr magnetons per cell): 2.45

Cell and atoms, written as CIF:
```
data_ZnCoNi2
_chemical_formula_sum 'Zn1 Co1 Ni2'
_symmetry_space_group_name_H-M 'P 1'
_symmetry_Int_Tables_number 1
_symmetry_space_group_name_Hall 'P 1'
_cell_length_a 4.1377
_cell_length_b 2.5500
_cell_length_c 4.3654
_cell_angle_alpha 89.99
_cell_angle_beta 90.00
_cell_angle_gamma 90.00
loop_
_atom_site_label
_atom_site_fract_x
_atom_site_fract_y
_atom_site_fract_z
_atom_site_occupancy
Ni1 0.5000 0.1253 0.2945 1
Co1 0.5000 0.6252 0.8034 1
Ni2 0.0000 0.1248 0.9512 1
Zn1 0.0000 0.6247 0.4509 1
```


ZnCo6Ni12 | PBE | optimized geometry

Values from the calculation:
Electronic total energy (eV per atom): -5.64
Calculated density (g cm⁻³): 8.0
DOS(E_F) (states/eV/cell): 25.309
Total magnetization (Bohr magnetons per cell): 18.09

Cell and atoms, written as CIF:
```
data_ZnCo6Ni12
_chemical_formula_sum 'Zn1 Co6 Ni12'
_symmetry_space_group_name_H-M 'P 1'
_symmetry_Int_Tables_number 1
_symmetry_space_group_name_Hall 'P 1'
_cell_length_a 6.5484
_cell_length_b 6.5484
_cell_length_c 6.5484
_cell_angle_alpha 107.04
_cell_angle_beta 107.04
_cell_angle_gamma 107.04
loop_
_atom_site_label
_atom_site_fract_x
_atom_site_fract_y
_atom_site_fract_z
_atom_site_occupancy
Ni1 0.8879 0.6526 0.6526 1
Ni2 0.8867 0.5000 0.1133 1
Co1 0.6906 0.2901 0.6906 1
Co2 0.7099 0.3094 0.3094 1
Ni3 0.3474 0.3474 0.1121 1
Ni4 0.1121 0.3474 0.3474 1
Co3 0.2901 0.6906 0.6906 1
Ni5 0.1133 0.5000 0.8867 1
Zn1 0.0000 0.0000 0.0000 1
Ni6 0.6526 0.8879 0.6526 1
Ni7 0.6526 0.6526 0.8879 1
Co4 0.3094 0.3094 0.7099 1
Co5 0.3094 0.7099 0.3094 1
Ni8 0.5000 0.1133 0.8867 1
Ni9 0.8867 0.1133 0.5000 1
Co6 0.6906 0.6906 0.2901 1
Ni10 0.5000 0.8867 0.1133 1
Ni11 0.3474 0.1121 0.3474 1
Ni12 0.1133 0.8867 0.5000 1
```


ZnCoNi | PBE | optimized geometry

Values from the calculation:
Electronic total energy (eV per atom): -4.41
Calculated density (g cm⁻³): 7.3
DOS(E_F) (states/eV/cell): 3.602
Total magnetization (Bohr magnetons per cell): 2.14

Cell and atoms, written as CIF:
```
data_ZnCoNi
_chemical_formula_sum 'Zn1 Co1 Ni1'
_symmetry_space_group_name_H-M 'P 1'
_symmetry_Int_Tables_number 1
_symmetry_space_group_name_Hall 'P 1'
_cell_length_a 3.8975
_cell_length_b 3.8975
_cell_length_c 3.8975
_cell_angle_alpha 60.00
_cell_angle_beta 60.00
_cell_angle_gamma 60.00
loop_
_atom_site_label
_atom_site_fract_x
_atom_site_fract_y
_atom_site_fract_z
_atom_site_occupancy
Zn1 0.0000 0.0000 0.0000 1
Ni1 0.7500 0.7500 0.7500 1
Co1 0.5000 0.5000 0.5000 1
```


ZnCo2Ni4 | PBE | optimized geometry

Values from the calculation:
Electronic total energy (eV per atom): -5.56
Calculated density (g cm⁻³): 8.8
DOS(E_F) (states/eV/cell): 7.541
Total magnetization (Bohr magnetons per cell): 5.05

Cell and atoms, written as CIF:
```
data_ZnCo2Ni4
_chemical_formula_sum 'Zn1 Co2 Ni4'
_symmetry_space_group_name_H-M 'P 1'
_symmetry_Int_Tables_number 1
_symmetry_space_group_name_Hall 'P 1'
_cell_length_a 3.5457
_cell_length_b 4.3345
_cell_length_c 9.0037
_cell_angle_alpha 44.39
_cell_angle_beta 90.00
_cell_angle_gamma 114.14
loop_
_atom_site_label
_atom_site_fract_x
_atom_site_fract_y
_atom_site_fract_z
_atom_site_occupancy
Zn1 0.0000 0.0000 0.5000 1
Co1 0.7092 0.4184 0.9378 1
Ni1 0.8653 0.7307 0.2078 1
Ni2 0.5656 0.1312 0.6482 1
Ni3 0.4344 0.8688 0.3518 1
Ni4 0.1347 0.2693 0.7922 1
Co2 0.2908 0.5816 0.0622 1
```


ZnCoNi2 | PBE | optimized geometry

Values from the calculation:
Electronic total energy (eV per atom): -5.04
Calculated density (g cm⁻³): 8.7
DOS(E_F) (states/eV/cell): 3.912
Total magnetization (Bohr magnetons per cell): 2.27

Cell and atoms, written as CIF:
```
data_ZnCoNi2
_chemical_formula_sum 'Zn1 Co1 Ni2'
_symmetry_space_group_name_H-M 'P 1'
_symmetry_Int_Tables_number 1
_symmetry_space_group_name_Hall 'P 1'
_cell_length_a 4.3815
_cell_length_b 4.3815
_cell_length_c 4.3887
_cell_angle_alpha 80.42
_cell_angle_beta 80.42
_cell_angle_gamma 33.60
loop_
_atom_site_label
_atom_site_fract_x
_atom_site_fract_y
_atom_site_fract_z
_atom_site_occupancy
Ni1 0.2525 0.2525 0.2524 1
Zn1 0.5006 0.5006 0.4906 1
Ni2 0.0009 0.0009 0.9886 1
Co1 0.7461 0.7461 0.7684 1
```


ZnCoNi14 | PBE | optimized geometry

Values from the calculation:
Electronic total energy (eV per atom): -5.59
Calculated density (g cm⁻³): 8.9
DOS(E_F) (states/eV/cell): 23.377
Total magnetization (Bohr magnetons per cell): 9.98

Cell and atoms, written as CIF:
```
data_ZnCoNi14
_chemical_formula_sum 'Zn1 Co1 Ni14'
_symmetry_space_group_name_H-M 'P 1'
_symmetry_Int_Tables_number 1
_symmetry_space_group_name_Hall 'P 1'
_cell_length_a 4.9931
_cell_length_b 4.9931
_cell_length_c 8.1629
_cell_angle_alpha 90.00
_cell_angle_beta 90.00
_cell_angle_gamma 119.92
loop_
_atom_site_label
_atom_site_fract_x
_atom_site_fract_y
_atom_site_fract_z
_atom_site_occupancy
Ni1 0.3775 0.1270 0.7508 1
Ni2 0.8740 0.1260 0.7524 1
Ni3 0.0427 0.4584 0.5000 1
Ni4 0.8740 0.1260 0.2476 1
Ni5 0.8730 0.6225 0.7508 1
Ni6 0.5416 0.9573 0.5000 1
Ni7 0.8730 0.6225 0.2492 1
Ni8 0.7081 0.2919 0.0000 1
Ni9 0.3775 0.1270 0.2492 1
Ni10 0.3756 0.6244 0.7487 1
Ni11 0.3756 0.6244 0.2513 1
Ni12 0.2082 0.2922 0.0000 1
Ni13 0.2083 0.7917 0.0000 1
Ni14 0.7078 0.7918 0.0000 1
Zn1 0.0417 0.9583 0.5000 1
Co1 0.5414 0.4586 0.5000 1
```


Zn2CoNi | PBE | optimized geometry

Values from the calculation:
Electronic total energy (eV per atom): -3.89
Calculated density (g cm⁻³): 8.4
DOS(E_F) (states/eV/cell): 2.826
Total magnetization (Bohr magnetons per cell): 1.64

Cell and atoms, written as CIF:
```
data_Zn2CoNi
_chemical_formula_sum 'Zn2 Co1 Ni1'
_symmetry_space_group_name_H-M 'P 1'
_symmetry_Int_Tables_number 1
_symmetry_space_group_name_Hall 'P 1'
_cell_length_a 4.3559
_cell_length_b 4.3559
_cell_length_c 4.6232
_cell_angle_alpha 80.80
_cell_angle_beta 80.80
_cell_angle_gamma 34.70
loop_
_atom_site_label
_atom_site_fract_x
_atom_site_fract_y
_atom_site_fract_z
_atom_site_occupancy
Co1 0.7500 0.7500 0.7500 1
Zn1 0.9990 0.9990 0.0008 1
Zn2 0.5010 0.5010 0.4992 1
Ni1 0.2500 0.2500 0.2500 1
```


ZnCoNi | PBE | optimized geometry

Values from the calculation:
Electronic total energy (eV per atom): -4.76
Calculated density (g cm⁻³): 8.6
DOS(E_F) (states/eV/cell): 11.285
Total magnetization (Bohr magnetons per cell): 6.91

Cell and atoms, written as CIF:
```
data_ZnCoNi
_chemical_formula_sum 'Zn4 Co4 Ni4'
_symmetry_space_group_name_H-M 'P 1'
_symmetry_Int_Tables_number 1
_symmetry_space_group_name_Hall 'P 1'
_cell_length_a 7.1879
_cell_length_b 2.5763
_cell_length_c 8.3411
_cell_angle_alpha 90.00
_cell_angle_beta 114.12
_cell_angle_gamma 90.00
loop_
_atom_site_label
_atom_site_fract_x
_atom_site_fract_y
_atom_site_fract_z
_atom_site_occupancy
Zn1 0.3737 0.0000 0.4939 1
Zn2 0.7225 0.0000 0.1648 1
Co1 0.1967 0.0000 0.1599 1
Ni1 0.8809 0.5000 0.9925 1
Co2 0.0512 0.0000 0.8317 1
Co3 0.1967 0.5000 0.6599 1
Zn3 0.3737 0.5000 0.9939 1
Ni2 0.5385 0.5000 0.3242 1
Ni3 0.8809 0.0000 0.4925 1
Ni4 0.5385 0.0000 0.8242 1
Co4 0.0512 0.5000 0.3317 1
Zn4 0.7225 0.5000 0.6648 1
```


ZnCoNi2 | PBE | optimized geometry

Values from the calculation:
Electronic total energy (eV per atom): -5.02
Calculated density (g cm⁻³): 8.7
DOS(E_F) (states/eV/cell): 5.267
Total magnetization (Bohr magnetons per cell): 2.61

Cell and atoms, written as CIF:
```
data_ZnCoNi2
_chemical_formula_sum 'Zn1 Co1 Ni2'
_symmetry_space_group_name_H-M 'P 1'
_symmetry_Int_Tables_number 1
_symmetry_space_group_name_Hall 'P 1'
_cell_length_a 8.3366
_cell_length_b 8.3366
_cell_length_c 8.3366
_cell_angle_alpha 17.58
_cell_angle_beta 17.58
_cell_angle_gamma 17.58
loop_
_atom_site_label
_atom_site_fract_x
_atom_site_fract_y
_atom_site_fract_z
_atom_site_occupancy
Zn1 0.2500 0.2500 0.2500 1
Ni1 0.4974 0.4974 0.4974 1
Co1 0.7500 0.7500 0.7500 1
Ni2 0.0026 0.0026 0.0026 1
```